1.
A plane-wave DFT calculation with PBE was carried out for crystalline K2TiBiTe4 at its relaxed geometry.

As for the space-group type: I-42m (121).

```
K2TiBiTe4
1.0
7.729 0.000 0.000
3.864 6.175 0.000
3.864 0.000 6.175
K Ti Bi Te
2 1 1 4
Direct
0.000 0.500 0.500
0.500 0.500 0.500
0.500 0.000 0.000
0.000 0.000 0.000
0.111 0.345 0.000
0.889 0.000 0.655
0.544 0.000 0.345
0.456 0.655 0.000
```

---

2.
A plane-wave DFT calculation with PBE was carried out for crystalline KTlBiTe3 at its relaxed geometry.

As for the space-group type: P2_1/m (11).

```
KTlBiTe3
1.0
-1.678 1.638 4.057
2.676 -7.915 4.303
8.740 6.694 0.912
K Tl Bi Te
2 2 2 6
Direct
0.250 0.220 0.257
0.750 0.780 0.743
0.250 0.079 0.621
0.750 0.921 0.379
0.250 0.677 0.119
0.750 0.323 0.881
0.750 0.901 0.098
0.250 0.099 0.902
0.250 0.746 0.450
0.750 0.254 0.550
0.750 0.459 0.157
0.250 0.541 0.843
```

---

3.
A plane-wave DFT calculation with PBE was carried out for crystalline K2TmBiTe4 at its relaxed geometry.

As for the space-group type: P2/m (10).

```
K2TmBiTe4
1.0
-4.369 0.563 -0.935
1.540 -0.836 -7.701
-1.688 -7.876 3.149
K Tm Bi Te
2 1 1 4
Direct
0.500 0.000 0.500
0.000 0.500 0.500
0.500 0.500 0.000
0.000 0.000 0.000
0.500 0.245 0.210
0.500 0.755 0.790
0.000 0.272 0.794
0.000 0.728 0.206
```

---

4.
A plane-wave DFT calculation with PBE was carried out for crystalline K3TmBi2Te6 at its relaxed geometry.

As for the space-group type: C2/m (12).

```
K3TmBi2Te6
1.0
-0.593 7.663 -1.787
-1.726 -2.499 7.283
8.642 -0.586 0.423
K Tm Bi Te
3 1 2 6
Direct
0.171 0.829 0.500
0.829 0.171 0.500
0.500 0.500 0.500
0.000 0.000 0.000
0.334 0.666 0.000
0.666 0.334 0.000
0.931 0.605 0.792
0.745 0.745 0.210
0.069 0.395 0.208
0.605 0.931 0.792
0.255 0.255 0.790
0.395 0.069 0.208
```

---

5.
A plane-wave DFT calculation with PBE was carried out for crystalline K3Tm2BiTe6 at its relaxed geometry.

As for the space-group type: C2/m (12).

```
K3Tm2BiTe6
1.0
-7.547 1.994 -0.185
2.158 -6.837 3.093
2.562 5.197 6.414
K Tm Bi Te
3 2 1 6
Direct
0.164 0.836 0.500
0.836 0.164 0.500
0.500 0.500 0.500
0.333 0.667 0.000
0.667 0.333 0.000
0.000 0.000 0.000
0.931 0.590 0.793
0.727 0.727 0.207
0.069 0.410 0.207
0.590 0.931 0.793
0.273 0.273 0.793
0.410 0.069 0.207
```

---

6.
A plane-wave DFT calculation with PBE was carried out for crystalline K3TmBi3Te8 at its relaxed geometry.

As for the space-group type: C2/m (12).

```
K3TmBi3Te8
1.0
8.919 0.000 0.000
-4.459 7.771 -0.047
0.000 -5.159 8.629
K Tm Bi Te
3 1 3 8
Direct
0.000 0.000 0.000
0.000 0.500 0.000
0.500 0.500 0.000
0.000 0.000 0.500
0.500 0.000 0.500
0.500 0.500 0.500
0.000 0.500 0.500
0.263 0.525 0.288
0.737 0.475 0.712
0.770 0.540 0.295
0.230 0.460 0.705
0.770 0.025 0.295
0.230 0.975 0.705
0.255 0.025 0.295
0.745 0.975 0.705
```

---

7.
A plane-wave DFT calculation with PBE was carried out for crystalline K2UBiTe4 at its relaxed geometry.

As for the space-group type: P2/m (10).

```
K2UBiTe4
1.0
-2.846 1.310 -3.412
-5.933 0.914 5.300
4.203 7.504 -0.625
K U Bi Te
2 1 1 4
Direct
0.500 0.000 0.500
0.000 0.500 0.500
0.500 0.500 0.000
0.000 0.000 0.000
0.500 0.239 0.211
0.500 0.761 0.789
0.000 0.266 0.789
0.000 0.734 0.211
```

---

8.
A plane-wave DFT calculation with PBE was carried out for crystalline K3UBi3Te8 at its relaxed geometry.

As for the space-group type: R-3m (166).

```
K3UBi3Te8
1.0
-5.438 7.259 0.516
-1.358 -6.242 -6.458
-2.443 -2.492 9.316
K U Bi Te
3 1 3 8
Direct
0.000 0.000 0.000
0.000 0.500 0.000
0.500 0.500 0.000
0.000 0.000 0.500
0.500 0.000 0.500
0.500 0.500 0.500
0.000 0.500 0.500
0.263 0.526 0.289
0.737 0.474 0.711
0.769 0.538 0.295
0.231 0.462 0.705
0.769 0.026 0.295
0.231 0.974 0.705
0.257 0.026 0.295
0.743 0.974 0.705
```

---

9.
A plane-wave DFT calculation with PBE was carried out for crystalline K2U2BiTe6 at its relaxed geometry.

As for the space-group type: C2/m (12).

```
K2U2BiTe6
1.0
7.777 -0.041 0.088
-3.879 6.740 0.088
-1.368 -2.351 8.384
K U Bi Te
2 2 1 6
Direct
0.837 0.163 0.000
0.163 0.837 0.000
0.333 0.667 0.500
0.667 0.333 0.500
0.000 0.000 0.500
0.726 0.726 0.709
0.069 0.408 0.708
0.274 0.274 0.291
0.408 0.069 0.708
0.931 0.592 0.292
0.592 0.931 0.292
```

---

10.
A plane-wave DFT calculation with PBE was carried out for crystalline K3U3BiTe8 at its relaxed geometry.

As for the space-group type: C2/m (12).

```
K3U3BiTe8
1.0
9.067 0.019 0.007
-4.517 7.824 -0.026
-0.005 -5.191 8.336
K U Bi Te
3 3 1 8
Direct
0.000 0.000 0.000
0.000 0.500 0.000
0.500 0.500 0.000
0.500 0.000 0.500
0.500 0.500 0.500
0.000 0.500 0.500
0.000 0.000 0.500
0.264 0.526 0.289
0.736 0.474 0.711
0.759 0.518 0.289
0.241 0.482 0.711
0.759 0.030 0.289
0.241 0.970 0.711
0.272 0.031 0.290
0.728 0.969 0.710
```

---

11.
A plane-wave DFT calculation with PBE was carried out for crystalline K3Y3BiTe8 at its relaxed geometry.

As for the space-group type: C2/m (12).

```
K3Y3BiTe8
1.0
8.851 0.000 0.000
-4.426 7.697 -0.041
0.000 -5.107 8.478
K Y Bi Te
3 3 1 8
Direct
0.000 0.000 0.000
0.000 0.500 0.000
0.500 0.500 0.000
0.500 0.000 0.500
0.500 0.500 0.500
0.000 0.500 0.500
0.000 0.000 0.500
0.263 0.527 0.290
0.737 0.473 0.710
0.759 0.518 0.290
0.241 0.482 0.710
0.759 0.031 0.290
0.241 0.969 0.710
0.272 0.031 0.290
0.728 0.969 0.710
```

---

12.
A plane-wave DFT calculation with PBE was carried out for crystalline K3Y2BiTe6 at its relaxed geometry.

As for the space-group type: C2/m (12).

```
K3Y2BiTe6
1.0
-2.775 -1.722 7.152
6.258 -3.836 -2.818
3.812 7.543 1.854
K Y Bi Te
3 2 1 6
Direct
0.165 0.835 0.500
0.835 0.165 0.500
0.500 0.500 0.500
0.333 0.667 0.000
0.667 0.333 0.000
0.000 0.000 0.000
0.930 0.592 0.791
0.731 0.731 0.209
0.070 0.408 0.209
0.592 0.930 0.791
0.269 0.269 0.791
0.408 0.070 0.209
```

---

| no. | N(E_F) (states/eV/cell) | total magnetic moment (μB per formula unit) | DFT total energy (eV/atom) |
| --- | --- | --- | --- |
| 1 | 6.4 | 1.0 | -3.934 |
| 2 | 5.2 | 0.0 | -3.201 |
| 3 | 0.0 | 0.0 | -3.884 |
| 4 | 0.0 | 0.0 | -3.736 |
| 5 | 0.0 | 0.0 | -4.034 |
| 6 | 15.0 | 0.0 | -3.649 |
| 7 | 4.8 | 2.9 | -4.463 |
| 8 | 10.0 | 2.0 | -4.041 |
| 9 | 15.7 | 5.0 | -5.029 |
| 10 | 20.0 | 2.7 | -5.155 |
| 11 | 9.6 | 0.0 | -4.572 |
| 12 | 0.0 | 0.0 | -4.393 |